Record 1
This record from Alexandria via LeMat-Bulk describes crystalline TbPmCdGa at its relaxed geometry. The functional is PBE-GGA.

Summary:
* E: -15.1 eV/f.u.
* energy relative to the elements: -0.44 eV/atom
* crystal system: cubic
* spin magnetization: 0.000 μB/atom

abc: 5.2561 5.2561 5.2561
angles: 60.00 60.00 60.00
Closest atoms and distances in Å follow each position.
Element x y z (fractional)
Tb 0.0000 0.0000 0.0000  4 Cd 3.22, 4 Ga 3.22
Pm 0.5000 0.5000 0.5000  4 Cd 3.22, 4 Ga 3.22
Cd 0.7500 0.7500 0.7500  4 Tb 3.22, 4 Pm 3.22
Ga 0.2500 0.2500 0.2500  4 Pm 3.22, 4 Tb 3.22

Record 2
This record from Alexandria via LeMat-Bulk describes crystalline TeAsP2S at its relaxed geometry. The functional is PBE-GGA.

Summary:
* E: -18.6 eV/f.u.
* raw formation energy: 80 kJ per mole of atoms
* crystal system: tetragonal
* spin magnetization: 0.000 μB/atom

abc: 4.6212 4.6212 4.8386
angles: 90.00 90.00 90.00
Closest atoms and distances in Å follow each position.
Element x y z (fractional)
Te 0.0000 0.0000 0.0000  4 As 3.27, 8 P 3.35
As 0.5000 0.5000 0.0000  2 S 2.42
P 0.0000 0.5000 0.5000  2 S 2.31
P 0.5000 0.0000 0.5000  2 S 2.31
S 0.5000 0.5000 0.5000  4 P 2.31, 2 As 2.42

Record 3
This record from Alexandria via LeMat-Bulk describes crystalline Ba2SeBr at its relaxed geometry. The functional is PBE-GGA.

Summary:
* E: -15.6 eV/f.u.
* raw formation energy: -160 kJ per mole of atoms
* crystal system: tetragonal
* spin magnetization: 0.062 μB/atom

abc: 4.0323 4.0323 8.0413
angles: 90.00 90.00 90.00
Closest atoms and distances in Å follow each position.
Element x y z (fractional)
Ba 0.0000 0.0000 0.2314  4 Se 3.40, 4 Br 3.58, 1 Ba 3.72
Ba 0.0000 0.0000 0.7686  4 Se 3.40, 4 Br 3.58, 1 Ba 3.72
Se 0.5000 0.5000 0.0000  8 Ba 3.40
Br 0.5000 0.5000 0.5000  8 Ba 3.58

Record 4
This record from Alexandria via LeMat-Bulk describes crystalline Tb8Er3Pu2 at its relaxed geometry. The functional is PBE-GGA.

Summary:
* E: -75.7 eV/f.u.
* energy relative to the elements: 0.28 eV/atom
* crystal system: orthorhombic
* spin magnetization: 1.068 μB/atom

abc: 10.6311 10.6311 5.6431
angles: 90.00 90.00 138.94
Closest atoms and distances in Å follow each position.
Element x y z (fractional)
Tb 0.1384 0.8616 0.0000  2 Er 3.44, 2 Pu 3.48, 7 Tb 3.57-3.81
Tb 0.1740 0.3963 0.5000  1 Er 3.07, 1 Tb 3.20, 2 Pu 3.35
Tb 0.3234 0.6766 0.0000  2 Pu 3.26, 4 Tb 3.50
Tb 0.3963 0.1740 0.5000  1 Er 3.07, 1 Tb 3.20, 2 Pu 3.35
Tb 0.6037 0.8260 0.5000  1 Er 3.07, 1 Tb 3.20, 2 Pu 3.35
Tb 0.6766 0.3234 0.0000  2 Pu 3.26, 4 Tb 3.50
Tb 0.8260 0.6037 0.5000  1 Er 3.07, 1 Tb 3.20, 2 Pu 3.35
Tb 0.8616 0.1384 0.0000  2 Er 3.44, 2 Pu 3.48, 7 Tb 3.57-3.81
Er 0.0000 0.0000 0.5000  4 Tb 3.07
Er 0.2770 0.2770 0.0000  3 Er 3.33-3.50, 6 Tb 3.44-3.59
Er 0.7230 0.7230 0.0000  3 Er 3.33-3.50, 6 Tb 3.44-3.59
Pu 0.2410 0.7590 0.5000  8 Tb 3.26-3.48
Pu 0.7590 0.2410 0.5000  8 Tb 3.26-3.48